## P2Se (PBE)

Data for a relaxed P2Se crystal.

DFT total energy: -4.052 eV/atom
formation energy (no corrections): 0.7163 eV/atom
magnetization: 0.0 μB/f.u.

abc: 4.6695 4.6695 2.6289
angles: 90.00 90.00 120.00
With the nearest neighbours (Å) after each atom.
Sites, in units of the cell vectors:
P 0.3333 0.6667 0.8341  5 P 2.63-2.70
Se 0.6667 0.3333 0.3333  2 Se 2.63
P 0.0000 0.0000 0.8326  5 P 2.63-2.70